1.
DFT (GGA-PBE) results for crystalline TeAs2P at its relaxed geometry.

Results
**ΔE to the lowest computed polymorph**: 100 meV per atom

Cell: 4.874 4.874 4.870 Å, 71.46 68.68 108.57°
Sites, in units of the cell vectors:
As1 0.000 0.000 0.000
As2 0.500 0.000 0.500
P1 0.000 0.500 0.500
Te1 0.500 0.500 0.000

***

2.
DFT (GGA-PBE) results for crystalline TeAs4P at its relaxed geometry.

Cell: 5.616 5.616 5.616 Å, 60.00 60.00 60.00°
Sites, in units of the cell vectors:
Te1 0.000 0.000 0.000
As1 0.864 0.379 0.379
As2 0.379 0.379 0.864
As3 0.379 0.864 0.379
As4 0.379 0.379 0.379
P1 0.750 0.750 0.750

***

Here are the calculated total energy numbers, same order: -4.1972 -3.7798 (eV per atom).